First-principles (PBE) data for an optimized crystal structure of Mn2NiH, as listed in Alexandria.

Its electronic total energy is -6.525 eV/atom. Its density is 7610 kg/m³.

It has space group R-3m (No. 166, hexagonal axes), with a = 2.5234 Å, b = 2.5234 Å, c = 20.1304 Å, α = 90.00°, β = 90.00° and γ = 120.00°. The inequivalent atoms are Mn at (0.0000, 0.0000, 0.1173), Ni at (0.0000, 0.0000, 0.0000) and H at (0.0000, 0.0000, 0.5000).

---

First-principles (PBE) data for an optimized crystal structure of MnNi2H4, as listed in Alexandria.

Its electronic total energy is -4.892 eV/atom. Its density is 6470 kg/m³.

It has space group Cmmm (No. 65), with a = 4.4229 Å, b = 7.6029 Å, c = 2.6922 Å, α = 90.00°, β = 90.00° and γ = 90.00°. The inequivalent atoms are Mn at (0.0000, 0.0000, 0.0000), Ni at (0.0000, 0.3262, 0.5000), H at (0.2333, 0.5000, 0.5000) and H at (0.2500, 0.2500, 0.0000).

---

First-principles (PBE) data for an optimized crystal structure of MnNi3H, as listed in Alexandria.

Its electronic total energy is -6.001 eV/atom. Its density is 8011 kg/m³.

It has space group P1 (No. 1), with a = 4.4408 Å, b = 4.5002 Å, c = 5.1335 Å, α = 90.42°, β = 90.14° and γ = 110.33°. The inequivalent atoms are Mn at (0.0000, 0.0000, 0.0000), Mn at (0.0106, 0.5134, 0.2803), Ni at (0.0051, 0.0092, 0.4985), Ni at (0.0075, 0.5120, 0.7694), Ni at (0.5012, 0.0056, 0.7455), Ni at (0.5029, 0.5148, 0.0124), Ni at (0.5068, 0.0114, 0.2623), Ni at (0.5146, 0.5222, 0.5087), H at (0.2672, 0.2781, 0.7367) and H at (0.7225, 0.2587, 0.9957).

---

First-principles (PBE) data for an optimized crystal structure of MnNi3H, as listed in Alexandria.

Its electronic total energy is -5.413 eV/atom. Its density is 5742 kg/m³.

It has space group P4mm (No. 99), with a = 3.4000 Å, b = 3.4000 Å, c = 5.8040 Å, α = 90.00°, β = 90.00° and γ = 90.00°. The inequivalent atoms are Mn at (0.0000, 0.0000, 0.0000), Ni at (0.0000, 0.0000, 0.6065), Ni at (0.0000, 0.5000, 0.3146) and H at (0.5000, 0.5000, 0.2654).

---

First-principles (PBE) data for an optimized crystal structure of Mn2Ni3H2, as listed in Alexandria.

Its electronic total energy is -5.988 eV/atom. Its density is 7325 kg/m³.

It has space group C2/m (No. 12), with a = 8.2703 Å, b = 2.6249 Å, c = 6.4346 Å, α = 90.00°, β = 110.81° and γ = 90.00°. The inequivalent atoms are Mn at (0.1686, 0.0000, 0.2982), Ni at (0.0000, 0.5000, 0.5000), Ni at (0.1096, 0.5000, 0.9137) and H at (0.2171, 0.0000, 0.8374).

---

First-principles (PBE) data for an optimized crystal structure of MnNi2H3, as listed in Alexandria.

Its electronic total energy is -5.139 eV/atom. Its density is 6958 kg/m³.

It has space group P6_3/mcm (No. 193), with a = 4.3425 Å, b = 4.3425 Å, c = 5.1234 Å, α = 90.00°, β = 90.00° and γ = 120.00°. The inequivalent atoms are Mn at (0.0000, 0.0000, 0.2500), Ni at (0.3333, 0.6667, 0.0000) and H at (0.0000, 0.4607, 0.2500).

---

First-principles (PBE) data for an optimized crystal structure of MnNi3H, as listed in Alexandria.

Its electronic total energy is -5.929 eV/atom. Its density is 8528 kg/m³.

It has space group P-1 (No. 2), with a = 4.0791 Å, b = 4.3392 Å, c = 5.1056 Å, α = 89.42°, β = 89.98° and γ = 89.47°. The inequivalent atoms are Mn at (0.2431, 0.4233, 0.3930), Ni at (0.2429, 0.9189, 0.1380), Ni at (0.2441, 0.4221, 0.8742), Ni at (0.2487, 0.9215, 0.6206) and H at (0.4959, 0.7561, 0.8824).

---

First-principles (PBE) data for an optimized crystal structure of MnNi3H, as listed in Alexandria.

Its electronic total energy is -6.050 eV/atom. Its density is 8086 kg/m³.

It has space group P2_1/m (No. 11), with a = 4.1604 Å, b = 5.0794 Å, c = 4.5098 Å, α = 90.00°, β = 90.43° and γ = 90.00°. The inequivalent atoms are Mn at (0.2423, 0.2500, 0.3464), Ni at (0.2458, 0.7500, 0.3333), Ni at (0.2470, 0.0015, 0.8332) and H at (0.4879, 0.7500, 0.0098).

---

First-principles (PBE) data for an optimized crystal structure of Mn2Ni6H, as listed in Alexandria.

Its electronic total energy is -6.374 eV/atom. Its density is 8254 kg/m³.

It has space group I4/mmm (No. 139), with a = 5.1041 Å, b = 5.1041 Å, c = 7.1514 Å, α = 90.00°, β = 90.00° and γ = 90.00°. The inequivalent atoms are Mn at (0.0000, 0.5000, 0.2500), Ni at (0.0000, 0.0000, 0.2467), Ni at (0.2475, 0.2475, 0.0000) and H at (0.0000, 0.0000, 0.5000).

---

First-principles (PBE) data for an optimized crystal structure of MnNi3H, as listed in Alexandria.

Its electronic total energy is -5.868 eV/atom. Its density is 8311 kg/m³.

It has space group C2/m (No. 12), with a = 12.8889 Å, b = 2.4895 Å, c = 5.7991 Å, α = 90.00°, β = 94.76° and γ = 90.00°. The inequivalent atoms are Mn at (0.2145, 0.0000, 0.3436), Ni at (0.0319, 0.0000, 0.2056), Ni at (0.0951, 0.5000, 0.5602), Ni at (0.1708, 0.0000, 0.9188) and H at (0.0711, 0.5000, 0.8708).

---

First-principles (PBE) data for an optimized crystal structure of MnNi6H8, as listed in Alexandria.

Its electronic total energy is -4.733 eV/atom. Its density is 6975 kg/m³.

It has space group R-3 (No. 148, hexagonal axes), with a = 7.2232 Å, b = 7.2232 Å, c = 6.5620 Å, α = 90.00°, β = 90.00° and γ = 120.00°. The inequivalent atoms are Mn at (0.0000, 0.0000, 0.0000), Ni at (0.0470, 0.2474, 0.6672), H at (0.0000, 0.0000, 0.3036) and H at (0.0464, 0.4448, 0.8160).

---

First-principles (PBE) data for an optimized crystal structure of Mn3NiH, as listed in Alexandria.

Its electronic total energy is -7.259 eV/atom. Its density is 8283 kg/m³.

It has space group Pm-3m (No. 221), with a = 3.5572 Å, b = 3.5572 Å, c = 3.5572 Å, α = 90.00°, β = 90.00° and γ = 90.00°. The inequivalent atoms are Mn at (0.0000, 0.0000, 0.5000), Ni at (0.5000, 0.5000, 0.5000) and H at (0.0000, 0.0000, 0.0000).

---

First-principles (PBE) data for an optimized crystal structure of MnNi3H, as listed in Alexandria.

Its electronic total energy is -5.837 eV/atom. Its density is 7462 kg/m³.

It has space group C2/m (No. 12), with a = 9.6392 Å, b = 2.5681 Å, c = 8.6975 Å, α = 90.00°, β = 106.40° and γ = 90.00°. The inequivalent atoms are Mn at (0.1343, 0.0000, 0.3763), Ni at (0.0147, 0.5000, 0.8653), Ni at (0.1066, 0.5000, 0.6148), Ni at (0.1862, 0.0000, 0.0900) and H at (0.1541, 0.5000, 0.8048).

---

First-principles (PBE) data for an optimized crystal structure of MnNi3H3, as listed in Alexandria.

Its electronic total energy is -5.263 eV/atom. Its density is 7515 kg/m³.

It has space group Pm-3m (No. 221), with a = 3.7257 Å, b = 3.7257 Å, c = 3.7257 Å, α = 90.00°, β = 90.00° and γ = 90.00°. The inequivalent atoms are Mn at (0.0000, 0.0000, 0.0000), Ni at (0.0000, 0.5000, 0.5000) and H at (0.0000, 0.0000, 0.5000).

---

First-principles (PBE) data for an optimized crystal structure of MnNi2H3, as listed in Alexandria.

Its electronic total energy is -5.167 eV/atom. Its density is 7183 kg/m³.

It has space group Pnma (No. 62), with a = 5.3950 Å, b = 3.7356 Å, c = 8.0457 Å, α = 90.00°, β = 90.00° and γ = 90.00°. The inequivalent atoms are Mn at (0.1286, 0.2500, 0.0820), Ni at (0.1212, 0.2500, 0.4147), Ni at (0.1316, 0.2500, 0.7504), H at (0.1098, 0.7500, 0.4114), H at (0.1136, 0.7500, 0.0824) and H at (0.1215, 0.7500, 0.7500).

---

First-principles (PBE) data for an optimized crystal structure of MnNi3H, as listed in Alexandria.

Its electronic total energy is -6.020 eV/atom. Its density is 8033 kg/m³.

It has space group P1 (No. 1), with a = 4.4415 Å, b = 4.4703 Å, c = 5.1101 Å, α = 89.94°, β = 73.35° and γ = 81.09°. The inequivalent atoms are Mn at (0.0000, 0.0000, 0.0000), Mn at (0.4701, 0.2479, 0.3877), Ni at (0.4885, 0.7570, 0.1367), Ni at (0.4918, 0.7524, 0.6308), Ni at (0.4954, 0.2471, 0.8860), Ni at (0.9848, 0.4993, 0.2593), Ni at (0.9862, 0.5056, 0.7600), Ni at (0.9877, 0.9911, 0.5041), H at (0.2551, 0.6001, 0.9451) and H at (0.7653, 0.3669, 0.5729).

---

First-principles (PBE) data for an optimized crystal structure of MnNi7H12, as listed in Alexandria.

Its electronic total energy is -4.459 eV/atom. Its density is 6287 kg/m³.

It has space group Im-3 (No. 204), with a = 6.3199 Å, b = 6.3199 Å, c = 6.3199 Å, α = 90.00°, β = 90.00° and γ = 90.00°. The inequivalent atoms are Mn at (0.0000, 0.0000, 0.0000), Ni at (0.0000, 0.0000, 0.5000), Ni at (0.2500, 0.2500, 0.2500) and H at (0.0000, 0.3063, 0.1816).

---

First-principles (PBE) data for an optimized crystal structure of MnNi2H4, as listed in Alexandria.

Its electronic total energy is -4.846 eV/atom. Its density is 5888 kg/m³.

It has space group I4_1/amd (No. 141, origin choice 2), with a = 5.3368 Å, b = 5.3368 Å, c = 6.9847 Å, α = 90.00°, β = 90.00° and γ = 90.00°. The inequivalent atoms are Mn at (0.0000, 0.2500, 0.3750), Ni at (0.0000, 0.0000, 0.0000) and H at (0.0000, 0.0481, 0.7568).

---

First-principles (PBE) data for an optimized crystal structure of MnNi3H4, as listed in Alexandria.

Its electronic total energy is -5.027 eV/atom. Its density is 7265 kg/m³.

It has space group Cmmm (No. 65), with a = 5.3201 Å, b = 7.5779 Å, c = 2.6653 Å, α = 90.00°, β = 90.00° and γ = 90.00°. The inequivalent atoms are Mn at (0.0000, 0.0000, 0.0000), Ni at (0.0000, 0.5000, 0.0000), Ni at (0.2500, 0.2500, 0.5000), H at (0.0000, 0.2614, 0.0000) and H at (0.2379, 0.5000, 0.5000).

---

First-principles (PBE) data for an optimized crystal structure of MnNi3H, as listed in Alexandria.

Its electronic total energy is -5.858 eV/atom. Its density is 7637 kg/m³.

It has space group Cmcm (No. 63), with a = 4.8516 Å, b = 8.7302 Å, c = 4.7647 Å, α = 90.00°, β = 90.00° and γ = 90.00°. The inequivalent atoms are Mn at (0.0000, 0.0670, 0.2500), Ni at (0.0000, 0.5000, 0.0000), Ni at (0.2383, 0.1971, 0.7500) and H at (0.0000, 0.3556, 0.7500).

---

First-principles (PBE) data for an optimized crystal structure of MnNi3H, as listed in Alexandria.

Its electronic total energy is -5.512 eV/atom. Its density is 5929 kg/m³.

It has space group Cmcm (No. 63), with a = 4.8018 Å, b = 12.1032 Å, c = 4.4728 Å, α = 90.00°, β = 90.00° and γ = 90.00°. The inequivalent atoms are Mn at (0.0000, 0.1786, 0.2500), Ni at (0.0000, 0.0000, 0.0000), Ni at (0.2467, 0.1512, 0.7500) and H at (0.0000, 0.4332, 0.2500).